# 1
ScGa2Au | PBE | relaxed

The structure in POSCAR format:
```
ScGa2Au
1.0
7.443 0.000 0.000
0.000 7.443 0.000
3.722 3.722 2.861
Sc Au Ga
2 2 4
direct
0.500 0.500 0.000
0.250 0.750 0.500
0.000 0.000 0.000
0.750 0.250 0.500
0.652 0.125 0.250
0.098 0.625 0.250
0.375 0.348 0.750
0.875 0.902 0.750
```

The formation energy is -364 meV/atom.

# 2
Cr2GeHRh | PBE | relaxed

The structure in POSCAR format:
```
Cr2GeHRh
1.0
-1.403 0.978 -3.449
-3.287 -1.829 0.819
-1.428 3.237 1.498
Cr Ge Rh H
2 1 1 1
direct
0.000 0.500 0.000
0.500 0.000 0.000
0.500 0.500 0.500
0.000 0.000 0.500
0.000 0.000 0.000
```

The energy is -6.9491 eV/atom.

# 3
TeIr2Br | PBE | relaxed

The structure in POSCAR format:
```
TeIr2Br
1.0
-2.420 -2.791 -0.136
1.822 -1.442 -2.814
4.362 -4.003 4.522
Ir Te Br
2 1 1
direct
0.000 0.774 0.072
0.500 0.266 0.182
0.000 0.486 0.394
0.500 0.974 0.852
```

The value obtained for the formation energy (no corrections) is 1.1 eV per formula unit. Its distance to the lowest polymorph of the same formula is 83 meV per atom.

# 4
Ac2CdAu8 | PBE | relaxed

The structure in POSCAR format:
```
Ac2CdAu8
1.0
-4.958 -0.016 -2.284
-3.816 -3.278 2.196
1.670 8.731 5.895
Ac Cd Au
2 1 8
direct
0.652 0.652 0.303
0.348 0.348 0.697
0.500 0.000 0.000
0.281 0.278 0.245
0.036 0.033 0.755
0.807 0.374 0.000
0.749 0.249 0.498
0.251 0.751 0.502
0.193 0.626 0.000
0.964 0.967 0.245
0.719 0.722 0.755
```

The formation energy is -510 meV/atom.

# 5
TlSn2Hg | PBE | relaxed

The structure in POSCAR format:
```
TlSn2Hg
1.0
5.786 0.000 0.000
0.000 3.262 -0.199
0.000 2.063 12.108
Tl Sn Hg
2 4 2
direct
0.750 0.888 0.687
0.250 0.112 0.313
0.750 0.289 0.941
0.250 0.711 0.059
0.250 0.328 0.832
0.750 0.672 0.168
0.250 0.540 0.566
0.750 0.460 0.434
```

Its distance to the lowest polymorph of the same formula is 2 meV per atom. The formation energy is 17 meV/atom.

# 6
HgSbTe3 | PBE | relaxed

The structure in POSCAR format:
```
HgSbTe3
1.0
5.773 0.000 0.000
0.000 5.773 0.000
0.000 0.000 5.773
Sb Te Hg
1 3 1
direct
0.000 0.000 0.000
0.000 0.500 0.000
0.000 0.000 0.500
0.500 0.000 0.000
0.500 0.500 0.500
```

The value obtained for the formation energy (no corrections) is 2.2 eV per formula unit. Its distance to the lowest polymorph of the same formula is 445 meV per atom.